(1)
DFT (PBE) results for Tm2Cd2Ag after structural relaxation.

POSCAR file:
```
Tm2Cd2Ag
1.0
-2.305 -4.346 -2.654
5.338 -0.837 -3.264
0.826 -1.657 7.881
Cd Tm Ag
4 4 2
Cartesian
0.012 -3.171 5.183
2.664 -5.941 1.530
1.196 -0.899 0.433
3.848 -3.668 -3.220
1.394 -3.951 -0.626
-0.597 -4.761 2.430
4.457 -2.078 -0.467
2.466 -2.888 2.588
0.941 -3.678 -3.623
2.093 -1.505 -2.296
```

Values from the calculation:
- DOS(E_F) (states/eV/cell) = 6.64
- VASP energy (eV/cell) = -28.93
- relative energy among the computed polymorphs (eV/f.u.) = 0.51



(2)
DFT (PBE) results for Tm4Cd2Ag3 after structural relaxation.

POSCAR file:
```
Tm4Cd2Ag3
1.0
4.906 0.001 0.001
2.452 4.766 0.588
-0.002 0.600 9.109
Tm Cd Ag
4 2 3
Cartesian
4.904 3.910 8.577
2.452 1.456 1.121
2.452 4.477 3.594
4.905 0.889 6.103
2.452 2.558 7.020
4.905 2.808 2.678
2.452 1.605 4.127
4.905 3.761 5.571
0.000 0.000 0.000
```

Values from the calculation:
- DOS(E_F) (states/eV/cell) = 5.81
- VASP energy (eV/cell) = -30.48



(3)
DFT (PBE) results for TmCdAg3 after structural relaxation.

POSCAR file:
```
TmCdAg3
1.0
-3.531 -3.323 -1.641
2.586 -4.278 1.081
-4.946 -1.780 6.269
Cd Ag Tm
2 6 2
Cartesian
-0.989 -4.881 4.568
-0.428 -2.665 -0.104
-2.135 -6.519 2.352
0.221 -4.835 1.857
-2.814 -4.350 0.470
-6.465 -6.084 3.850
-1.638 -2.712 2.606
-3.431 -6.566 5.241
-4.062 -4.398 3.250
-0.886 -6.471 -0.428
```

Values from the calculation:
- DOS(E_F) (states/eV/cell) = 4.77
- VASP energy (eV/cell) = -29.93
- relative energy among the computed polymorphs (eV/f.u.) = 0.00



| no. | M_tot (μB per atom) |
| --- | --- |
| 1 | 0.00 |
| 2 | 0.00 |
| 3 | 0.00 |